Compound: Mg2ScCu
Source: Alexandria
Functional: meta-GGA SCAN
Structure: PBEsol geometry

Cell: 5.7821 5.7821 2.9280 Å, 101.89 101.89 120.89°
Closest atoms and distances in Å follow each position.
Element x y z (fractional)
Mg 0.0000 0.5000 0.0000  6 Mg 2.85-3.12, 2 Cu 2.96, 2 Sc 2.96
Mg 0.5000 0.0000 0.0000  6 Mg 2.85-3.12, 2 Sc 2.96, 2 Cu 2.96
Sc 0.0000 0.0000 0.5000  4 Cu 2.85-3.12, 2 Sc 2.93, 4 Mg 2.96
Cu 0.5000 0.5000 0.5000  4 Sc 2.85-3.12, 2 Cu 2.93, 4 Mg 2.96

Formation energy from the elements ... 0.1025 eV per atom
Theoretical density ... 3.4 g/cm3
Space-group type ... No. 12


Compound: MgAuO2
Source: Alexandria
Functional: meta-GGA SCAN
Structure: PBEsol geometry

Cell: 6.3030 6.3030 6.3030 Å, 27.84 27.84 27.84°
Closest atoms and distances in Å follow each position.
Element x y z (fractional)
Mg 0.0000 0.0000 0.0000  6 O 2.05
Au 0.5000 0.5000 0.5000  2 O 1.95
O 0.3925 0.3925 0.3925  1 Au 1.95, 3 Mg 2.05
O 0.6075 0.6075 0.6075  1 Au 1.95, 3 Mg 2.05

Theoretical density ... 8.7 g/cm3
Formation energy without anion corrections ... -1514.5 meV/atom
Space-group type ... No. 166


Compound: SrTc3H
Source: Alexandria
Functional: meta-GGA SCAN
Structure: PBEsol geometry

Cell: 4.1400 4.1400 4.1400 Å, 90.00 90.00 90.00°
Closest atoms and distances in Å follow each position.
Element x y z (fractional)
Sr 0.0000 0.0000 0.0000  12 Tc 2.93
Tc 0.0000 0.5000 0.5000  2 H 2.07
Tc 0.5000 0.0000 0.5000  2 H 2.07
Tc 0.5000 0.5000 0.0000  2 H 2.07
H 0.5000 0.5000 0.5000  6 Tc 2.07

Theoretical density ... 9.0 g/cm3
Calculated total energy ... -25.11 eV/atom
Space-group type ... No. 221


Compound: CdTc2Se
Source: Alexandria
Functional: meta-GGA SCAN
Structure: PBEsol geometry

Cell: 5.5121 5.5121 5.5121 Å, 148.76 131.25 59.05°
Closest atoms and distances in Å follow each position.
Element x y z (fractional)
Cd 0.0000 0.0000 0.0000  6 Tc 2.72-3.05, 2 Cd 2.97, 2 Se 3.02
Tc 0.2890 0.7890 0.5000  2 Tc 2.61, 4 Se 2.78
Tc 0.5126 0.5126 0.0000  2 Se 2.53, 2 Tc 2.61, 4 Cd 2.72
Se 0.7264 0.2264 0.5000  6 Tc 2.53-2.78

Theoretical density ... 9.9 g/cm3
E above lowest polymorph ... 98 meV/atom
Formation energy without anion corrections ... 492.1 meV/atom
Space-group type ... No. 44


Compound: Os3Pt
Source: Alexandria
Functional: meta-GGA SCAN
Structure: PBEsol geometry

Cell: 4.7036 4.7036 2.7165 Å, 90.00 90.00 109.72°
Closest atoms and distances in Å follow each position.
Element x y z (fractional)
Os 0.0000 0.0000 0.0000  2 Pt 2.71, 10 Os 2.72
Os 0.0000 0.5000 0.5000  8 Os 2.71-2.72, 4 Pt 2.72
Os 0.5000 0.0000 0.5000  8 Os 2.71-2.72, 4 Pt 2.72
Pt 0.5000 0.5000 0.0000  10 Os 2.71-2.72, 2 Pt 2.72

Formation energy from the elements ... 0.1981 eV per atom
Theoretical density ... 22.5 g/cm3
Space-group type ... No. 65


Compound: Ta2B2W
Source: Alexandria
Functional: meta-GGA SCAN
Structure: PBEsol geometry

Cell: 6.0728 6.0728 3.2626 Å, 90.00 90.00 90.00°
Closest atoms and distances in Å follow each position.
Element x y z (fractional)
Ta 0.1772 0.3228 0.0000  6 B 2.43-2.44
Ta 0.3228 0.8228 0.0000  6 B 2.43-2.44
Ta 0.6772 0.1772 0.0000  6 B 2.43-2.44
Ta 0.8228 0.6772 0.0000  6 B 2.43-2.44
B 0.1113 0.6113 0.5000  1 B 1.91
B 0.3887 0.1113 0.5000  1 B 1.91
B 0.6113 0.8887 0.5000  1 B 1.91
B 0.8887 0.3887 0.5000  1 B 1.91
W 0.0000 0.0000 0.5000  4 B 2.46
W 0.5000 0.5000 0.5000  4 B 2.46

Formation energy from the elements ... -0.6706 eV per atom
Theoretical density ... 15.7 g/cm3
Space-group type ... No. 127


Compound: Zn2RuSF
Source: Alexandria
Functional: meta-GGA SCAN
Structure: PBEsol geometry

Cell: 3.8687 3.8687 4.9059 Å, 90.00 90.00 90.00°
Closest atoms and distances in Å follow each position.
Element x y z (fractional)
Zn 0.0000 0.5000 0.0000  2 F 1.93
Zn 0.5000 0.0000 0.0000  2 F 1.93
Ru 0.0000 0.0000 0.5000  4 S 2.74
S 0.5000 0.5000 0.5000  2 F 2.45, 4 Ru 2.74
F 0.5000 0.5000 0.0000  4 Zn 1.93

Theoretical density ... 6.4 g/cm3
Formation energy without anion corrections ... 263.9 meV/atom
Space-group type ... No. 123


Compound: AgHg2AsO4
Source: Alexandria
Functional: meta-GGA SCAN
Structure: PBEsol geometry

Cell: 8.7647 9.5887 6.3015 Å, 90.00 90.00 90.00°
Closest atoms and distances in Å follow each position.
Element x y z (fractional)
Ag 0.0293 0.1431 0.0000  2 O 2.28
Ag 0.4707 0.6431 0.0000  2 O 2.28
Ag 0.5293 0.3569 0.0000  2 O 2.28
Ag 0.9707 0.8569 0.0000  2 O 2.28
Hg 0.2383 0.9681 0.2107  3 O 2.27-2.37
Hg 0.2383 0.9681 0.7893  3 O 2.27-2.37
Hg 0.2617 0.4681 0.2107  3 O 2.27-2.37
Hg 0.2617 0.4681 0.7893  3 O 2.27-2.37
Hg 0.7383 0.5319 0.2107  3 O 2.27-2.37
Hg 0.7383 0.5319 0.7893  3 O 2.27-2.37
Hg 0.7617 0.0319 0.2107  3 O 2.27-2.37
Hg 0.7617 0.0319 0.7893  3 O 2.27-2.37
As 0.0323 0.7123 0.5000  4 O 1.71-1.73
As 0.4677 0.2123 0.5000  4 O 1.71-1.73
As 0.5323 0.7877 0.5000  4 O 1.71-1.73
As 0.9677 0.2877 0.5000  4 O 1.71-1.73
O 0.0665 0.3008 0.2660  1 As 1.71
O 0.0665 0.3008 0.7340  1 As 1.71
O 0.1161 0.8745 0.5000  1 As 1.72
O 0.1686 0.5814 0.5000  1 As 1.73
O 0.3314 0.0814 0.5000  1 As 1.73
O 0.3839 0.3745 0.5000  1 As 1.72
O 0.4335 0.8008 0.2660  1 As 1.71
O 0.4335 0.8008 0.7340  1 As 1.71
O 0.5665 0.1992 0.2660  1 As 1.71
O 0.5665 0.1992 0.7340  1 As 1.71
O 0.6161 0.6255 0.5000  1 As 1.72
O 0.6686 0.9186 0.5000  1 As 1.73
O 0.8314 0.4186 0.5000  1 As 1.73
O 0.8839 0.1255 0.5000  1 As 1.72
O 0.9335 0.6992 0.2660  1 As 1.71
O 0.9335 0.6992 0.7340  1 As 1.71

Theoretical density ... 8.1 g/cm3
Formation energy without anion corrections ... -797.9 meV/atom
Space-group type ... No. 55


Compound: KCrMo2F
Source: Alexandria
Functional: meta-GGA SCAN
Structure: PBEsol geometry

Cell: 4.1394 4.1394 5.2087 Å, 90.00 90.00 90.00°
Closest atoms and distances in Å follow each position.
Element x y z (fractional)
K 0.0000 0.0000 0.0000  4 Cr 2.93
Cr 0.5000 0.5000 0.0000  2 F 2.60
Mo 0.0000 0.5000 0.5000  2 F 2.07
Mo 0.5000 0.0000 0.5000  2 F 2.07
F 0.5000 0.5000 0.5000  4 Mo 2.07

Theoretical density ... 5.6 g/cm3
Formation energy without anion corrections ... 1049.6 meV/atom
Space-group type ... No. 123


Compound: Tb3AlNi8
Source: Alexandria
Functional: meta-GGA SCAN
Structure: PBEsol geometry

Cell: 4.9867 4.9867 15.8338 Å, 90.00 90.00 120.00°
Closest atoms and distances in Å follow each position.
Element x y z (fractional)
Tb 0.3333 0.6667 0.0460  9 Ni 2.80-3.07, 3 Al 2.97
Tb 0.3333 0.6667 0.2500  18 Ni 2.88-3.18
Tb 0.3333 0.6667 0.4540  9 Ni 2.80-3.07, 3 Al 2.97
Tb 0.6667 0.3333 0.5460  9 Ni 2.80-3.07, 3 Al 2.97
Tb 0.6667 0.3333 0.7500  18 Ni 2.88-3.18
Tb 0.6667 0.3333 0.9540  9 Ni 2.80-3.07, 3 Al 2.97
Al 0.0000 0.0000 0.0000  6 Ni 2.47
Al 0.0000 0.0000 0.5000  6 Ni 2.47
Ni 0.0000 0.0000 0.2500  6 Ni 2.45
Ni 0.0000 0.0000 0.7500  6 Ni 2.45
Ni 0.1688 0.3376 0.6258  6 Ni 2.43-2.52, 1 Al 2.47
Ni 0.1688 0.3376 0.8742  6 Ni 2.43-2.52, 1 Al 2.47
Ni 0.1688 0.8312 0.6258  6 Ni 2.43-2.52, 1 Al 2.47
Ni 0.1688 0.8312 0.8742  6 Ni 2.43-2.52, 1 Al 2.47
Ni 0.3333 0.6667 0.7500  6 Ni 2.43
Ni 0.3376 0.1688 0.1258  6 Ni 2.43-2.52, 1 Al 2.47
Ni 0.3376 0.1688 0.3742  6 Ni 2.43-2.52, 1 Al 2.47
Ni 0.6624 0.8312 0.6258  6 Ni 2.43-2.52, 1 Al 2.47
Ni 0.6624 0.8312 0.8742  6 Ni 2.43-2.52, 1 Al 2.47
Ni 0.6667 0.3333 0.2500  6 Ni 2.43
Ni 0.8312 0.1688 0.1258  6 Ni 2.43-2.52, 1 Al 2.47
Ni 0.8312 0.1688 0.3742  6 Ni 2.43-2.52, 1 Al 2.47
Ni 0.8312 0.6624 0.1258  6 Ni 2.43-2.52, 1 Al 2.47
Ni 0.8312 0.6624 0.3742  6 Ni 2.43-2.52, 1 Al 2.47

Formation energy from the elements ... -0.4329 eV per atom
Theoretical density ... 9.5 g/cm3
Space-group type ... No. 194


- theoretical density of number 10 (Tb3AlNi8)?
  9.5 g/cm3